Entry 1:
VASP calculation (meta-GGA SCAN) on a PBEsol-optimized structure of ScCoMo2.

Calculated values
Offset from the most stable computed form = 186.3 meV/atom
V = 60 Å³/cell
DOS(E_F) = 0.858 states/eV per atom
Formation enthalpy at 0 K = 233 meV/atom
Total energy = -25.09 eV/atom
Total magnetization = 1.248 μB per formula unit

a = 2.6939 Å, b = 2.6939 Å, c = 8.3223 Å
α = 90.00°, β = 90.00°, γ = 97.70°
Last column: nearest neighbours and their distance in Å.
Atoms (fractional coordinates):
Co1 0.5000 0.5000 0.0000  8 Mo 2.51-2.70, 4 Co 2.69
Mo1 0.0000 0.0000 0.2135  4 Co 2.51-2.70, 4 Mo 2.69
Mo2 0.0000 0.0000 0.7865  4 Co 2.51-2.70, 4 Mo 2.69
Sc1 0.5000 0.5000 0.5000  4 Sc 2.69, 4 Mo 2.97



Entry 2:
VASP calculation (meta-GGA SCAN) on a PBEsol-optimized structure of Li2ZrMo.

Calculated values
Offset from the most stable computed form = 332.0 meV/atom
V = 63 Å³/cell
DOS(E_F) = 0.970 states/eV per atom
Formation enthalpy at 0 K = 642 meV/atom
Total energy = -16.95 eV/atom
Total magnetization = 0.005 μB per formula unit

a = 3.4738 Å, b = 3.4738 Å, c = 5.2150 Å
α = 90.00°, β = 90.00°, γ = 90.00°
Last column: nearest neighbours and their distance in Å.
Atoms (fractional coordinates):
Li1 0.0000 0.0000 0.7778  1 Li 2.32
Li2 0.0000 0.0000 0.2222  1 Li 2.32
Mo1 0.5000 0.5000 0.0000  2 Zr 2.61, 8 Li 2.72
Zr1 0.5000 0.5000 0.5000  2 Mo 2.61, 8 Li 2.85